Record 1
A plane-wave DFT calculation with PBE-GGA was carried out for crystalline SmSi2IrRh at its relaxed geometry.

abc: 4.096 4.096 5.826
angles: 110.58 110.58 90.00
Fractional positions:
Sm 0.000 0.000 0.000
Si 0.377 0.377 0.754
Si 0.623 0.623 0.246
Ir 0.250 0.750 0.500
Rh 0.750 0.250 0.500

Results
Raw total energy   -7.45 eV/atom
SG   I-4m2, No. 119
Formation energy (no corrections)   -1.095 eV/atom
DOS(E_F)   2.04 states/eV per cell

***

Record 2
A plane-wave DFT calculation with PBE-GGA was carried out for crystalline Ho3Zn2Ga7 at its relaxed geometry.

abc: 4.157 4.168 13.598
angles: 99.01 90.00 90.00
Fractional positions:
Ga 0.500 0.917 0.835
Ga 0.000 0.416 0.834
Ga 0.000 0.000 0.000
Ga 0.500 0.727 0.453
Ga 0.500 0.273 0.547
Ga 0.500 0.083 0.165
Ga 0.000 0.584 0.166
Zn 0.500 0.639 0.274
Zn 0.500 0.361 0.726
Ho 0.000 0.185 0.370
Ho 0.500 0.500 0.000
Ho 0.000 0.815 0.630

Results
Raw total energy   -3.60 eV/atom
Energy relative to the lowest polymorph listed for this composition   0.0 meV per atom
SG   P2/m, No. 10
DFT formation energy   -45.7 kJ/mol of atoms
DOS(E_F)   4.02 states/eV per cell

***

Record 3
A plane-wave DFT calculation with PBE-GGA was carried out for crystalline BaScP2 at its relaxed geometry.

abc: 5.077 4.517 5.084
angles: 90.00 90.00 90.00
Fractional positions:
Ba 0.500 0.750 0.875
P 0.500 0.286 0.375
P 0.000 0.217 0.875
Sc 0.000 0.248 0.375

Results
Raw total energy   -5.58 eV/atom
Energy relative to the lowest polymorph listed for this composition   181.4 meV per atom
SG   Pmm2, No. 25
DFT formation energy   -77.9 kJ/mol of atoms
DOS(E_F)   2.79 states/eV per cell

***

Record 4
A plane-wave DFT calculation with PBE-GGA was carried out for crystalline Te3IrW at its relaxed geometry.

abc: 5.177 5.177 5.177
angles: 90.00 90.00 90.00
Fractional positions:
Te 0.000 0.500 0.000
Te 0.500 0.000 0.000
Te 0.000 0.000 0.500
Ir 0.500 0.500 0.500
W 0.000 0.000 0.000

Results
Raw total energy   -4.83 eV/atom
Energy relative to the lowest polymorph listed for this composition   0.0 meV per atom
SG   Pm-3m, No. 221
Formation energy (no corrections)   1.415 eV/atom
DOS(E_F)   6.49 states/eV per cell

***

> The lowest raw total energy belongs to which entry?

SmSi2IrRh

***

> What is the formula in the second record?

Ho3Zn2Ga7

***

> Which of these has the highest DOS(E_F)?

Te3IrW

***

Copy entry 1 word for word.
A plane-wave DFT calculation with PBE-GGA was carried out for crystalline SmSi2IrRh at its relaxed geometry.

abc: 4.096 4.096 5.826
angles: 110.58 110.58 90.00
Fractional positions:
Sm 0.000 0.000 0.000
Si 0.377 0.377 0.754
Si 0.623 0.623 0.246
Ir 0.250 0.750 0.500
Rh 0.750 0.250 0.500

Results
Raw total energy   -7.45 eV/atom
SG   I-4m2, No. 119
Formation energy (no corrections)   -1.095 eV/atom
DOS(E_F)   2.04 states/eV per cell